No. 1
A plane-wave DFT calculation with GGA-PBE was carried out for an optimized crystal structure of CaLa2Ge3Pt4.

Cell lengths 4.359, 4.359, 11.143 Å; angles 90.00, 90.00, 90.00 degrees
Space group P-4m2 (No. 115)
Symmetry-distinct sites (fractional):
Ca (0.000, 0.000, 0.000) [1 per cell]
La (0.000, 0.500, 0.729) [2 per cell]
Ge (0.000, 0.500, 0.380) [2 per cell]
Ge (0.500, 0.500, 0.000) [1 per cell]
Pt (0.000, 0.000, 0.500) [1 per cell]
Pt (0.000, 0.500, 0.158) [2 per cell]
Pt (0.500, 0.500, 0.500) [1 per cell]

- M_tot: 0.00 μB/f.u.
- Total DFT energy (no corrections): -5.9256 eV/atom
- E_form: -938 meV/atom


No. 2
A plane-wave DFT calculation with GGA-PBE was carried out for an optimized crystal structure of CaLaSnGe.

Cell lengths 7.633, 7.633, 7.633 Å; angles 90.00, 90.00, 90.00 degrees
Space group F-43m (No. 216)
Symmetry-distinct sites (fractional):
Ca (0.000, 0.000, 0.000) [4 per cell]
La (0.000, 0.000, 0.500) [4 per cell]
Sn (0.250, 0.250, 0.250) [4 per cell]
Ge (0.250, 0.250, 0.750) [4 per cell]

- M_tot: 0.00 μB/f.u.
- Total DFT energy (no corrections): -4.4695 eV/atom
- E_form: -582 meV/atom


No. 3
A plane-wave DFT calculation with GGA-PBE was carried out for an optimized crystal structure of SrCaLaGe2.

Cell lengths 5.690, 5.690, 5.586 Å; angles 90.00, 90.00, 90.00 degrees
Space group P4/mmm (No. 123)
Symmetry-distinct sites (fractional):
Sr (0.000, 0.000, 0.000) [1 per cell]
Ca (0.500, 0.500, 0.500) [1 per cell]
La (0.000, 0.000, 0.500) [1 per cell]
Ge (0.000, 0.500, 0.000) [2 per cell]

- M_tot: 0.00 μB/f.u.
- Total DFT energy (no corrections): -2.9099 eV/atom
- E_form: 659 meV/atom


No. 4
A plane-wave DFT calculation with GGA-PBE was carried out for an optimized crystal structure of CaLaGe2W.

Cell lengths 4.966, 4.966, 5.244 Å; angles 90.00, 90.00, 90.00 degrees
Space group P4/mmm (No. 123)
Symmetry-distinct sites (fractional):
Ca (0.000, 0.000, 0.000) [1 per cell]
La (0.500, 0.500, 0.000) [1 per cell]
Ge (0.000, 0.500, 0.500) [2 per cell]
W (0.000, 0.000, 0.500) [1 per cell]

- M_tot: 0.00 μB/f.u.
- Total DFT energy (no corrections): -5.5892 eV/atom
- E_form: 234 meV/atom


No. 5
A plane-wave DFT calculation with GGA-PBE was carried out for an optimized crystal structure of CaLa2Zn2Ge2.

Cell lengths 4.2542, 4.2542, 35.5169 Å; angles 90.00, 90.00, 120.00 degrees
Space group R-3m (No. 166, hexagonal axes)
Symmetry-distinct sites (fractional):
Ca (0.0000, 0.0000, 0.0000) [3 per cell]
La (0.0000, 0.0000, 0.1198) [6 per cell]
Zn (0.0000, 0.0000, 0.3964) [6 per cell]
Ge (0.0000, 0.0000, 0.2739) [6 per cell]

- M_tot: 1.01 μB/f.u.
- Total DFT energy (no corrections): -3.8249 eV/atom
- E_form: -448 meV/atom


No. 6
A plane-wave DFT calculation with GGA-PBE was carried out for an optimized crystal structure of Ca2LaZnGe.

Cell lengths 5.528, 5.528, 5.184 Å; angles 90.00, 90.00, 90.00 degrees
Space group P4/mmm (No. 123)
Symmetry-distinct sites (fractional):
Ca (0.000, 0.500, 0.000) [2 per cell]
La (0.000, 0.000, 0.500) [1 per cell]
Zn (0.500, 0.500, 0.000) [1 per cell]
Ge (0.500, 0.500, 0.500) [1 per cell]

- M_tot: 0.00 μB/f.u.
- Total DFT energy (no corrections): -2.8665 eV/atom
- E_form: 98 meV/atom


No. 7
A plane-wave DFT calculation with GGA-PBE was carried out for an optimized crystal structure of LiCa2Ge.

Cell lengths 5.023, 5.023, 4.025 Å; angles 90.00, 90.00, 90.00 degrees
Space group P4/mmm (No. 123)
Symmetry-distinct sites (fractional):
Li (0.000, 0.000, 0.000) [1 per cell]
Ca (0.000, 0.500, 0.500) [2 per cell]
Ge (0.500, 0.500, 0.000) [1 per cell]

- M_tot: 0.00 μB/f.u.
- Total DFT energy (no corrections): -2.9642 eV/atom
- E_form: -331 meV/atom


No. 8
A plane-wave DFT calculation with GGA-PBE was carried out for an optimized crystal structure of LiCa2Ge6.

Cell lengths 11.829, 10.100, 4.133 Å; angles 90.00, 110.31, 90.00 degrees
Space group Cm (No. 8)
Symmetry-distinct sites (fractional):
Li (0.000, 0.000, 0.000) [2 per cell]
Ca (0.164, 0.500, 0.591) [2 per cell]
Ca (0.337, 0.000, 0.266) [2 per cell]
Ge (0.000, 0.366, 0.909) [4 per cell]
Ge (0.178, 0.222, 0.194) [4 per cell]
Ge (0.322, 0.279, 0.838) [4 per cell]

- M_tot: 0.00 μB/f.u.
- Total DFT energy (no corrections): -3.9297 eV/atom
- E_form: -194 meV/atom


No. 9
A plane-wave DFT calculation with GGA-PBE was carried out for an optimized crystal structure of Li2CaGe.

Cell lengths 4.391, 4.391, 19.131 Å; angles 90.00, 90.00, 90.00 degrees
Space group I-42d (No. 122)
Symmetry-distinct sites (fractional):
Li (0.136, 0.750, 0.125) [8 per cell]
Ca (0.000, 0.000, 0.500) [4 per cell]
Ge (0.000, 0.000, 0.000) [4 per cell]

- M_tot: 0.00 μB/f.u.
- Total DFT energy (no corrections): -2.7564 eV/atom
- E_form: -145 meV/atom


No. 10
A plane-wave DFT calculation with GGA-PBE was carried out for an optimized crystal structure of Li4CaGe.

Cell lengths 7.692, 7.692, 7.692 Å; angles 90.00, 90.00, 90.00 degrees
Space group F-43m (No. 216)
Symmetry-distinct sites (fractional):
Li (0.124, 0.124, 0.376) [16 per cell]
Ca (0.000, 0.000, 0.000) [4 per cell]
Ge (0.250, 0.250, 0.750) [4 per cell]

- M_tot: 0.00 μB/f.u.
- Total DFT energy (no corrections): -2.5209 eV/atom
- E above lowest polymorph: 0.0 meV/atom
- E_form: -142 meV/atom


No. 11
A plane-wave DFT calculation with GGA-PBE was carried out for an optimized crystal structure of Li6CaGe2.

Cell lengths 10.346, 8.042, 4.688 Å; angles 90.00, 101.55, 90.00 degrees
Space group C2/m (No. 12)
Symmetry-distinct sites (fractional):
Li (0.000, 0.161, 0.000) [4 per cell]
Li (0.232, 0.167, 0.737) [8 per cell]
Ca (0.000, 0.500, 0.500) [2 per cell]
Ge (0.221, 0.000, 0.227) [4 per cell]

- M_tot: 0.00 μB/f.u.
- Total DFT energy (no corrections): -2.7541 eV/atom
- E_form: -230 meV/atom


No. 12
A plane-wave DFT calculation with GGA-PBE was carried out for an optimized crystal structure of LiCaGe.

Cell lengths 4.636, 13.900, 8.029 Å; angles 90.00, 90.00, 90.00 degrees
Space group Pmmn (No. 59, origin choice 2)
Symmetry-distinct sites (fractional):
Li (0.250, 0.095, 0.083) [4 per cell]
Li (0.250, 0.640, 0.414) [4 per cell]
Ca (0.250, 0.000, 0.727) [4 per cell]
Ca (0.250, 0.250, 0.785) [2 per cell]
Ca (0.250, 0.750, 0.777) [2 per cell]
Ge (0.250, 0.150, 0.419) [4 per cell]
Ge (0.250, 0.617, 0.082) [4 per cell]

- M_tot: 0.00 μB/f.u.
- Total DFT energy (no corrections): -3.3466 eV/atom
- E_form: -502 meV/atom


No. 13
A plane-wave DFT calculation with GGA-PBE was carried out for an optimized crystal structure of Li2Ca2Ge.

Cell lengths 3.698, 3.698, 19.318 Å; angles 90.00, 90.00, 90.00 degrees
Space group I4/mmm (No. 139)
Symmetry-distinct sites (fractional):
Li (0.000, 0.500, 0.250) [4 per cell]
Ca (0.000, 0.000, 0.091) [4 per cell]
Ge (0.000, 0.000, 0.500) [2 per cell]

- M_tot: 0.00 μB/f.u.
- Total DFT energy (no corrections): -2.6502 eV/atom
- E above lowest polymorph: 51.0 meV/atom
- E_form: -161 meV/atom


No. 14
A plane-wave DFT calculation with GGA-PBE was carried out for an optimized crystal structure of Li2CaGe2.

Cell lengths 4.183, 4.183, 11.578 Å; angles 90.00, 90.00, 90.00 degrees
Space group I4/mmm (No. 139)
Symmetry-distinct sites (fractional):
Li (0.000, 0.500, 0.250) [4 per cell]
Ca (0.000, 0.000, 0.000) [2 per cell]
Ge (0.000, 0.000, 0.396) [4 per cell]

- M_tot: 0.00 μB/f.u.
- Total DFT energy (no corrections): -3.4685 eV/atom
- E above lowest polymorph: 0.0 meV/atom
- E_form: -456 meV/atom


No. 15
A plane-wave DFT calculation with GGA-PBE was carried out for an optimized crystal structure of Li2CaGe2.

Cell lengths 7.856, 7.856, 2.992 Å; angles 90.00, 90.00, 90.00 degrees
Space group P4/mbm (No. 127)
Symmetry-distinct sites (fractional):
Li (0.117, 0.383, 0.000) [4 per cell]
Ca (0.000, 0.000, 0.000) [2 per cell]
Ge (0.178, 0.678, 0.500) [4 per cell]

- M_tot: 0.00 μB/f.u.
- Total DFT energy (no corrections): -3.3641 eV/atom
- E above lowest polymorph: 104.4 meV/atom
- E_form: -351 meV/atom


No. 16
A plane-wave DFT calculation with GGA-PBE was carried out for an optimized crystal structure of LiCa2Ge.

Cell lengths 4.846, 4.846, 20.334 Å; angles 90.00, 90.00, 90.00 degrees
Space group I-42d (No. 122)
Symmetry-distinct sites (fractional):
Li (0.000, 0.000, 0.000) [4 per cell]
Ca (0.230, 0.250, 0.625) [8 per cell]
Ge (0.000, 0.000, 0.500) [4 per cell]

- M_tot: 0.00 μB/f.u.
- Total DFT energy (no corrections): -2.5204 eV/atom
- E_form: 113 meV/atom


No. 17
A plane-wave DFT calculation with GGA-PBE was carried out for an optimized crystal structure of Li3CaGe.

Cell lengths 4.847, 4.847, 4.847 Å; angles 90.00, 90.00, 90.00 degrees
Space group Pm-3m (No. 221)
Symmetry-distinct sites (fractional):
Li (0.000, 0.000, 0.500) [3 per cell]
Ca (0.500, 0.500, 0.500) [1 per cell]
Ge (0.000, 0.000, 0.000) [1 per cell]

- M_tot: 0.00 μB/f.u.
- Total DFT energy (no corrections): -2.6162 eV/atom
- E above lowest polymorph: 0.0 meV/atom
- E_form: -144 meV/atom


No. 18
A plane-wave DFT calculation with GGA-PBE was carried out for an optimized crystal structure of LiCaGe3.

Cell lengths 5.440, 5.440, 5.440 Å; angles 90.00, 90.00, 90.00 degrees
Space group Pm-3m (No. 221)
Symmetry-distinct sites (fractional):
Li (0.000, 0.000, 0.000) [1 per cell]
Ca (0.500, 0.500, 0.500) [1 per cell]
Ge (0.000, 0.500, 0.500) [3 per cell]

- M_tot: 0.76 μB/f.u.
- Total DFT energy (no corrections): -2.7909 eV/atom
- E above lowest polymorph: 1094.8 meV/atom
- E_form: 763 meV/atom


No. 19
A plane-wave DFT calculation with GGA-PBE was carried out for an optimized crystal structure of LiCaGe.

Cell lengths 3.855, 3.855, 9.147 Å; angles 90.00, 90.00, 90.00 degrees
Space group I4mm (No. 107)
Symmetry-distinct sites (fractional):
Li (0.000, 0.000, 0.000) [2 per cell]
Ca (0.000, 0.000, 0.691) [2 per cell]
Ge (0.000, 0.000, 0.360) [2 per cell]

- M_tot: 0.00 μB/f.u.
- Total DFT energy (no corrections): -3.1447 eV/atom
- E_form: -300 meV/atom


No. 20
A plane-wave DFT calculation with GGA-PBE was carried out for an optimized crystal structure of Li4CaGe.

Cell lengths 4.587, 21.386, 5.236 Å; angles 90.00, 90.00, 90.00 degrees
Space group Cmcm (No. 63)
Symmetry-distinct sites (fractional):
Li (0.000, 0.000, 0.000) [4 per cell]
Li (0.000, 0.208, 0.004) [8 per cell]
Li (0.000, 0.336, 0.750) [4 per cell]
Ca (0.000, 0.406, 0.250) [4 per cell]
Ge (0.000, 0.101, 0.250) [4 per cell]

- M_tot: 0.00 μB/f.u.
- Total DFT energy (no corrections): -2.5153 eV/atom
- E above lowest polymorph: 5.6 meV/atom
- E_form: -136 meV/atom


No. 21
A plane-wave DFT calculation with GGA-PBE was carried out for an optimized crystal structure of LiCaGe3.

Cell lengths 4.219, 25.860, 3.969 Å; angles 90.00, 90.00, 90.00 degrees
Space group Cmcm (No. 63)
Symmetry-distinct sites (fractional):
Li (0.000, 0.203, 0.250) [4 per cell]
Ca (0.000, 0.080, 0.750) [4 per cell]
Ge (0.000, 0.308, 0.250) [4 per cell]
Ge (0.000, 0.367, 0.750) [4 per cell]
Ge (0.000, 0.470, 0.750) [4 per cell]

- M_tot: 0.00 μB/f.u.
- Total DFT energy (no corrections): -3.8857 eV/atom
- E above lowest polymorph: 0.0 meV/atom
- E_form: -332 meV/atom


No. 22
A plane-wave DFT calculation with GGA-PBE was carried out for an optimized crystal structure of LiCa2Ge.

Cell lengths 6.476, 4.681, 7.493 Å; angles 90.00, 111.91, 90.00 degrees
Space group P2_1/m (No. 11)
Symmetry-distinct sites (fractional):
Li (0.098, 0.250, 0.196) [2 per cell]
Ca (0.237, 0.750, 0.571) [2 per cell]
Ca (0.350, 0.750, 0.102) [2 per cell]
Ge (0.141, 0.250, 0.824) [2 per cell]

- M_tot: 0.00 μB/f.u.
- Total DFT energy (no corrections): -3.0694 eV/atom
- E_form: -436 meV/atom


No. 23
A plane-wave DFT calculation with GGA-PBE was carried out for an optimized crystal structure of Li2CaGe4.

Cell lengths 5.287, 5.287, 13.764 Å; angles 90.00, 90.00, 90.00 degrees
Space group I4/mmm (No. 139)
Symmetry-distinct sites (fractional):
Li (0.000, 0.000, 0.101) [4 per cell]
Ca (0.000, 0.000, 0.500) [2 per cell]
Ge (0.000, 0.000, 0.294) [4 per cell]
Ge (0.000, 0.500, 0.000) [4 per cell]

- M_tot: 0.00 μB/f.u.
- Total DFT energy (no corrections): -2.8660 eV/atom
- E above lowest polymorph: 916.6 meV/atom
- E_form: 605 meV/atom


No. 24
A plane-wave DFT calculation with GGA-PBE was carried out for an optimized crystal structure of LiCa6Ge.

Cell lengths 10.194, 10.194, 10.194 Å; angles 90.00, 90.00, 90.00 degrees
Space group Fm-3m (No. 225)
Symmetry-distinct sites (fractional):
Li (0.000, 0.000, 0.000) [4 per cell]
Ca (0.000, 0.250, 0.250) [24 per cell]
Ge (0.000, 0.000, 0.500) [4 per cell]

- M_tot: 0.00 μB/f.u.
- Total DFT energy (no corrections): -2.3648 eV/atom
- E_form: -47 meV/atom


No. 25
A plane-wave DFT calculation with GGA-PBE was carried out for an optimized crystal structure of Li2CaGe4.

Cell lengths 6.841, 6.841, 5.733 Å; angles 90.00, 90.00, 90.00 degrees
Space group I4/mmm (No. 139)
Symmetry-distinct sites (fractional):
Li (0.000, 0.500, 0.250) [4 per cell]
Ca (0.000, 0.000, 0.000) [2 per cell]
Ge (0.195, 0.195, 0.500) [8 per cell]

- M_tot: 0.00 μB/f.u.
- Total DFT energy (no corrections): -3.7826 eV/atom
- E above lowest polymorph: 0.0 meV/atom
- E_form: -311 meV/atom